1.
# GGA-PBE NiAsOs, relaxed
data_NiAsOs
_chemical_formula_sum 'Ni4 As4 Os4'
_space_group_name_H-M_alt 'F -4 3 m'
_space_group_IT_number 216
_space_group_name_Hall 'F -4 2 3'
_cell_length_a 5.756
_cell_length_b 5.756
_cell_length_c 5.756
_cell_angle_alpha 90.00
_cell_angle_beta 90.00
_cell_angle_gamma 90.00
loop_
_atom_site_label
_atom_site_fract_x
_atom_site_fract_y
_atom_site_fract_z
_atom_site_occupancy
Ni1 0.000 0.000 0.000 1
As1 0.000 0.000 0.500 1
Os1 0.250 0.250 0.750 1
# - energy relative to the elements (eV/atom) = 0.2200
# - polymorph energy (0 for the lowest one) (kJ/mol of formula units) = 17
# - final energy (eV per atom) = -7.0002

2.
# GGA-PBE NiAs2Os, relaxed
data_NiAs2Os
_chemical_formula_sum 'Ni1 As2 Os1'
_space_group_name_H-M_alt 'P m m 2'
_space_group_IT_number 25
_cell_length_a 3.044
_cell_length_b 3.738
_cell_length_c 5.248
_cell_angle_alpha 90.00
_cell_angle_beta 90.00
_cell_angle_gamma 90.00
loop_
_space_group_symop_operation_xyz
'x,y,z'
'-x,-y,z'
'-x,y,z'
'x,-y,z'
loop_
_atom_site_label
_atom_site_fract_x
_atom_site_fract_y
_atom_site_fract_z
_atom_site_occupancy
Ni1 0.000 0.000 0.000 1
As1 0.000 0.000 0.494 1
As2 0.500 0.500 0.872 1
Os1 0.500 0.500 0.333 1
# - energy relative to the elements (eV/atom) = 0.1137
# - polymorph energy (0 for the lowest one) (kJ/mol of formula units) = 12
# - final energy (eV per atom) = -6.4639

3.
# GGA-PBE NiAsOs2, relaxed
data_NiAsOs2
_chemical_formula_sum 'Ni1 As1 Os2'
_space_group_name_H-M_alt 'P m m 2'
_space_group_IT_number 25
_cell_length_a 2.812
_cell_length_b 3.662
_cell_length_c 5.481
_cell_angle_alpha 90.00
_cell_angle_beta 90.00
_cell_angle_gamma 90.00
loop_
_space_group_symop_operation_xyz
'x,y,z'
'-x,-y,z'
'-x,y,z'
'x,-y,z'
loop_
_atom_site_label
_atom_site_fract_x
_atom_site_fract_y
_atom_site_fract_z
_atom_site_occupancy
Ni1 0.000 0.000 0.000 1
As1 0.500 0.500 0.792 1
Os1 0.000 0.000 0.479 1
Os2 0.500 0.500 0.253 1
# - energy relative to the elements (eV/atom) = 0.2779
# - final energy (eV per atom) = -7.9447

4.
# GGA-PBE NiAsOs2, relaxed
data_NiAsOs2
_chemical_formula_sum 'Ni4 As4 Os8'
_space_group_name_H-M_alt 'I -4 2 d'
_space_group_IT_number 122
_space_group_name_Hall 'I -4 2bw'
_cell_length_a 3.709
_cell_length_b 3.709
_cell_length_c 17.826
_cell_angle_alpha 90.00
_cell_angle_beta 90.00
_cell_angle_gamma 90.00
loop_
_atom_site_label
_atom_site_fract_x
_atom_site_fract_y
_atom_site_fract_z
_atom_site_occupancy
Ni1 0.000 0.000 0.000 1
As1 0.000 0.000 0.500 1
Os1 0.215 0.250 0.125 1
# - energy relative to the elements (eV/atom) = 0.6256
# - final energy (eV per atom) = -7.5970

5.
# GGA-PBE NiAs6Os, relaxed
data_NiAs6Os
_chemical_formula_sum 'Ni4 As24 Os4'
_space_group_name_H-M_alt 'C 1 2/m 1'
_space_group_IT_number 12
_cell_length_a 11.924
_cell_length_b 8.519
_cell_length_c 8.484
_cell_angle_alpha 90.00
_cell_angle_beta 134.64
_cell_angle_gamma 90.00
loop_
_space_group_symop_operation_xyz
'x,y,z'
'-x,-y,-z'
'-x,y,-z'
'x,-y,z'
'x+1/2,y+1/2,z'
'-x+1/2,-y+1/2,-z'
'-x+1/2,y+1/2,-z'
'x+1/2,-y+1/2,z'
loop_
_atom_site_label
_atom_site_fract_x
_atom_site_fract_y
_atom_site_fract_z
_atom_site_occupancy
Ni1 0.250 0.250 0.000 1
As1 0.004 0.154 0.652 1
As2 0.146 0.500 0.302 1
As3 0.151 0.500 0.998 1
As4 0.154 0.149 0.152 1
Os1 0.250 0.250 0.500 1
# - energy relative to the elements (eV/atom) = -0.1979
# - final energy (eV per atom) = -5.8115

6.
# GGA-PBE NiAs3Os, relaxed
data_NiAs3Os
_chemical_formula_sum 'Ni1 As3 Os1'
_space_group_name_H-M_alt 'P m -3 m'
_space_group_IT_number 221
_space_group_name_Hall '-P 4 2 3'
_cell_length_a 4.473
_cell_length_b 4.473
_cell_length_c 4.473
_cell_angle_alpha 90.00
_cell_angle_beta 90.00
_cell_angle_gamma 90.00
loop_
_atom_site_label
_atom_site_fract_x
_atom_site_fract_y
_atom_site_fract_z
_atom_site_occupancy
Ni1 0.000 0.000 0.000 1
As1 0.000 0.000 0.500 1
Os1 0.500 0.500 0.500 1
# - energy relative to the elements (eV/atom) = 0.9952
# - polymorph energy (0 for the lowest one) (kJ/mol of formula units) = 0
# - final energy (eV per atom) = -5.1967

7.
# GGA-PBE NiAsOs2, relaxed
data_NiAsOs2
_chemical_formula_sum 'Ni2 As2 Os4'
_space_group_name_H-M_alt 'I m m 2'
_space_group_IT_number 44
_cell_length_a 3.016
_cell_length_b 4.238
_cell_length_c 8.536
_cell_angle_alpha 90.00
_cell_angle_beta 90.00
_cell_angle_gamma 90.00
loop_
_space_group_symop_operation_xyz
'x,y,z'
'-x,-y,z'
'-x,y,z'
'x,-y,z'
'x+1/2,y+1/2,z+1/2'
'-x+1/2,-y+1/2,z+1/2'
'-x+1/2,y+1/2,z+1/2'
'x+1/2,-y+1/2,z+1/2'
loop_
_atom_site_label
_atom_site_fract_x
_atom_site_fract_y
_atom_site_fract_z
_atom_site_occupancy
Ni1 0.000 0.000 0.000 1
As1 0.000 0.500 0.714 1
Os1 0.000 0.000 0.452 1
Os2 0.000 0.500 0.224 1
# - energy relative to the elements (eV/atom) = 0.3897
# - final energy (eV per atom) = -7.8328

8.
# GGA-PBE NiAs2Os, relaxed
data_NiAs2Os
_chemical_formula_sum 'Ni2 As4 Os2'
_space_group_name_H-M_alt 'A m m 2'
_space_group_IT_number 38
_cell_length_a 4.686
_cell_length_b 3.229
_cell_length_c 8.591
_cell_angle_alpha 90.00
_cell_angle_beta 90.00
_cell_angle_gamma 90.00
loop_
_space_group_symop_operation_xyz
'x,y,z'
'-x,-y,z'
'-x,y,z'
'x,-y,z'
'x,y+1/2,z+1/2'
'-x,-y+1/2,z+1/2'
'-x,y+1/2,z+1/2'
'x,-y+1/2,z+1/2'
loop_
_atom_site_label
_atom_site_fract_x
_atom_site_fract_y
_atom_site_fract_z
_atom_site_occupancy
Ni1 0.000 0.000 0.000 1
As1 0.000 0.000 0.296 1
As2 0.500 0.000 0.111 1
Os1 0.500 0.000 0.405 1
# - energy relative to the elements (eV/atom) = 0.0823
# - polymorph energy (0 for the lowest one) (kJ/mol of formula units) = 0
# - final energy (eV per atom) = -6.4953

Number 1: total magnetization 0.000 μB/cell, density of states at the Fermi level 2.3 states/eV/f.u.. Number 2: total magnetization 0.000 μB/cell, density of states at the Fermi level 2.4 states/eV/f.u.. Number 3: total magnetization 0.000 μB/cell, density of states at the Fermi level 3.8 states/eV/f.u.. Number 4: total magnetization 0.000 μB/cell, density of states at the Fermi level 6.1 states/eV/f.u.. Number 5: total magnetization 0.000 μB/cell, density of states at the Fermi level 2.0 states/eV/f.u.. Number 6: total magnetization 0.000 μB/cell, density of states at the Fermi level 4.7 states/eV/f.u.. Number 7: total magnetization 0.000 μB/cell, density of states at the Fermi level 3.9 states/eV/f.u.. Number 8: total magnetization 0.000 μB/cell, density of states at the Fermi level 1.8 states/eV/f.u..